--- one ---
Here is a geometry-optimized GeP2IO structure from the Alexandria database. Energies are from PBE-GGA.

Cell lengths 5.189, 5.189, 3.930 Å; angles 90.00, 90.00, 90.00 degrees
Sites, in units of the cell vectors:
Ge 0.000 0.000 0.000
P 0.000 0.500 0.500
P 0.500 0.000 0.500
I 0.500 0.500 0.500
O 0.500 0.500 0.000

Output
- space group = P4/mmm (123)

--- two ---
Here is a geometry-optimized GeP2IO structure from the Alexandria database. Energies are from PBE-GGA.

Cell lengths 4.962, 4.962, 3.730 Å; angles 90.00, 90.00, 90.00 degrees
Sites, in units of the cell vectors:
Ge 0.000 0.000 0.000
P 0.000 0.500 0.000
P 0.500 0.000 0.000
I 0.500 0.500 0.500
O 0.000 0.000 0.500

Output
- space group = P4/mmm (123)

Which of them is the least stable? Correct choice: one.

--- one ---
Here is a geometry-optimized GePbI2O structure from the Alexandria database. Energies are from PBE-GGA.

Cell lengths 6.111, 6.111, 3.827 Å; angles 90.00, 90.00, 90.00 degrees
Sites, in units of the cell vectors:
Ge 0.000 0.000 0.000
Pb 0.500 0.500 0.500
I 0.000 0.500 0.000
I 0.500 0.000 0.000
O 0.000 0.000 0.500

Output
- space group = P4/mmm (123)

--- two ---
Here is a geometry-optimized GePbI2O structure from the Alexandria database. Energies are from PBE-GGA.

Cell lengths 6.255, 6.255, 4.207 Å; angles 90.00, 90.00, 90.00 degrees
Sites, in units of the cell vectors:
Ge 0.000 0.000 0.000
Pb 0.500 0.500 0.500
I 0.000 0.500 0.500
I 0.500 0.000 0.500
O 0.500 0.500 0.000

Output
- space group = P4/mmm (123)

Which of them is the least stable? Correct choice: two.

--- one ---
Here is a geometry-optimized GePbIO2 structure from the Alexandria database. Energies are from PBE-GGA.

Cell lengths 4.263, 4.263, 5.513 Å; angles 90.00, 90.00, 90.00 degrees
Sites, in units of the cell vectors:
Ge 0.000 0.000 0.000
Pb 0.500 0.500 0.500
I 0.000 0.000 0.500
O 0.000 0.500 0.000
O 0.500 0.000 0.000

Output
- space group = P4/mmm (123)

--- two ---
Here is a geometry-optimized GePbIO2 structure from the Alexandria database. Energies are from PBE-GGA.

Cell lengths 4.281, 4.281, 6.758 Å; angles 90.00, 90.00, 90.00 degrees
Sites, in units of the cell vectors:
Ge 0.000 0.000 0.000
Pb 0.500 0.500 0.500
I 0.500 0.500 0.000
O 0.000 0.500 0.500
O 0.500 0.000 0.500

Output
- space group = P4/mmm (123)

Which of them is the least stable? Correct choice: two.

--- one ---
Here is a geometry-optimized GePdIO2 structure from the Alexandria database. Energies are from PBE-GGA.

Cell lengths 4.043, 4.043, 5.528 Å; angles 90.00, 90.00, 90.00 degrees
Sites, in units of the cell vectors:
Ge 0.000 0.000 0.000
Pd 0.000 0.000 0.500
I 0.500 0.500 0.000
O 0.000 0.500 0.500
O 0.500 0.000 0.500

Output
- space group = P4/mmm (123)

--- two ---
Here is a geometry-optimized GePdIO2 structure from the Alexandria database. Energies are from PBE-GGA.

Cell lengths 3.725, 3.725, 6.794 Å; angles 90.00, 90.00, 90.00 degrees
Sites, in units of the cell vectors:
Ge 0.000 0.000 0.000
Pd 0.500 0.500 0.500
I 0.000 0.000 0.500
O 0.000 0.500 0.000
O 0.500 0.000 0.000

Output
- space group = P4/mmm (123)

--- three ---
Here is a geometry-optimized GePdIO2 structure from the Alexandria database. Energies are from PBE-GGA.

Cell lengths 4.138, 4.138, 5.345 Å; angles 90.00, 90.00, 90.00 degrees
Sites, in units of the cell vectors:
Ge 0.000 0.000 0.000
Pd 0.500 0.500 0.500
I 0.500 0.500 0.000
O 0.000 0.500 0.500
O 0.500 0.000 0.500

Output
- space group = P4/mmm (123)

Which of them is the least stable? Correct choice: three.

--- one ---
Here is a geometry-optimized GePtIO2 structure from the Alexandria database. Energies are from PBE-GGA.

Cell lengths 3.720, 3.720, 7.276 Å; angles 90.00, 90.00, 90.00 degrees
Sites, in units of the cell vectors:
Ge 0.000 0.000 0.000
Pt 0.500 0.500 0.500
I 0.000 0.000 0.500
O 0.000 0.500 0.000
O 0.500 0.000 0.000

Output
- space group = P4/mmm (123)

--- two ---
Here is a geometry-optimized GePtIO2 structure from the Alexandria database. Energies are from PBE-GGA.

Cell lengths 4.092, 4.092, 5.519 Å; angles 90.00, 90.00, 90.00 degrees
Sites, in units of the cell vectors:
Ge 0.000 0.000 0.000
Pt 0.500 0.500 0.500
I 0.500 0.500 0.000
O 0.000 0.500 0.500
O 0.500 0.000 0.500

Output
- space group = P4/mmm (123)

Which of them is the least stable? Correct choice: two.

--- one ---
Here is a geometry-optimized ReGeIO2 structure from the Alexandria database. Energies are from PBE-GGA.

Cell lengths 3.899, 3.899, 6.240 Å; angles 90.00, 90.00, 90.00 degrees
Sites, in units of the cell vectors:
Re 0.000 0.000 0.000
Ge 0.500 0.500 0.500
I 0.000 0.000 0.500
O 0.000 0.500 0.000
O 0.500 0.000 0.000

Output
- space group = P4/mmm (123)

--- two ---
Here is a geometry-optimized ReGeIO2 structure from the Alexandria database. Energies are from PBE-GGA.

Cell lengths 3.828, 3.828, 6.573 Å; angles 90.00, 90.00, 90.00 degrees
Sites, in units of the cell vectors:
Re 0.000 0.000 0.000
Ge 0.500 0.500 0.500
I 0.500 0.500 0.000
O 0.000 0.500 0.500
O 0.500 0.000 0.500

Output
- space group = P4/mmm (123)

Which of them is the least stable? Correct choice: two.

--- one ---
Here is a geometry-optimized GeRhI2O structure from the Alexandria database. Energies are from PBE-GGA.

Cell lengths 5.652, 5.652, 3.762 Å; angles 90.00, 90.00, 90.00 degrees
Sites, in units of the cell vectors:
Ge 0.000 0.000 0.000
Rh 0.500 0.500 0.500
I 0.000 0.500 0.500
I 0.500 0.000 0.500
O 0.500 0.500 0.000

Output
- space group = P4/mmm (123)

--- two ---
Here is a geometry-optimized GeRhI2O structure from the Alexandria database. Energies are from PBE-GGA.

Cell lengths 5.675, 5.675, 3.667 Å; angles 90.00, 90.00, 90.00 degrees
Sites, in units of the cell vectors:
Ge 0.000 0.000 0.000
Rh 0.500 0.500 0.500
I 0.000 0.500 0.000
I 0.500 0.000 0.000
O 0.000 0.000 0.500

Output
- space group = P4/mmm (123)

Which of them is the least stable? Correct choice: two.

--- one ---
Here is a geometry-optimized GeRuI2O structure from the Alexandria database. Energies are from PBE-GGA.

Cell lengths 5.590, 5.590, 3.769 Å; angles 90.00, 90.00, 90.00 degrees
Sites, in units of the cell vectors:
Ge 0.000 0.000 0.000
Ru 0.500 0.500 0.500
I 0.000 0.500 0.500
I 0.500 0.000 0.500
O 0.500 0.500 0.000

Output
- space group = P4/mmm (123)

--- two ---
Here is a geometry-optimized GeRuI2O structure from the Alexandria database. Energies are from PBE-GGA.

Cell lengths 5.746, 5.746, 3.686 Å; angles 90.00, 90.00, 90.00 degrees
Sites, in units of the cell vectors:
Ge 0.000 0.000 0.000
Ru 0.500 0.500 0.500
I 0.000 0.500 0.000
I 0.500 0.000 0.000
O 0.000 0.000 0.500

Output
- space group = P4/mmm (123)

Which of them is the least stable? Correct choice: two.

--- one ---
Here is a geometry-optimized GeSI2O structure from the Alexandria database. Energies are from PBE-GGA.

Cell lengths 5.769, 5.769, 3.687 Å; angles 90.00, 90.00, 90.00 degrees
Sites, in units of the cell vectors:
Ge 0.000 0.000 0.000
S 0.500 0.500 0.500
I 0.000 0.500 0.000
I 0.500 0.000 0.000
O 0.000 0.000 0.500

Output
- space group = P4/mmm (123)

--- two ---
Here is a geometry-optimized GeSI2O structure from the Alexandria database. Energies are from PBE-GGA.

Cell lengths 5.691, 5.691, 3.659 Å; angles 90.00, 90.00, 90.00 degrees
Sites, in units of the cell vectors:
Ge 0.000 0.000 0.000
S 0.500 0.500 0.500
I 0.000 0.500 0.500
I 0.500 0.000 0.500
O 0.500 0.500 0.000

Output
- space group = P4/mmm (123)

Which of them is the least stable? Correct choice: two.

--- one ---
Here is a geometry-optimized ScGeI2O structure from the Alexandria database. Energies are from PBE-GGA.

Cell lengths 5.945, 5.945, 3.871 Å; angles 90.00, 90.00, 90.00 degrees
Sites, in units of the cell vectors:
Sc 0.000 0.000 0.000
Ge 0.500 0.500 0.500
I 0.000 0.500 0.000
I 0.500 0.000 0.000
O 0.000 0.000 0.500

Output
- space group = P4/mmm (123)

--- two ---
Here is a geometry-optimized ScGeI2O structure from the Alexandria database. Energies are from PBE-GGA.

Cell lengths 5.911, 5.911, 3.793 Å; angles 90.00, 90.00, 90.00 degrees
Sites, in units of the cell vectors:
Sc 0.000 0.000 0.000
Ge 0.500 0.500 0.500
I 0.000 0.500 0.500
I 0.500 0.000 0.500
O 0.500 0.500 0.000

Output
- space group = P4/mmm (123)

Which of them is the least stable? Correct choice: two.

--- one ---
Here is a geometry-optimized GeSeI2O structure from the Alexandria database. Energies are from PBE-GGA.

Cell lengths 5.872, 5.872, 3.839 Å; angles 90.00, 90.00, 90.00 degrees
Sites, in units of the cell vectors:
Ge 0.000 0.000 0.000
Se 0.500 0.500 0.500
I 0.000 0.500 0.500
I 0.500 0.000 0.500
O 0.500 0.500 0.000

Output
- space group = P4/mmm (123)

--- two ---
Here is a geometry-optimized GeSeI2O structure from the Alexandria database. Energies are from PBE-GGA.

Cell lengths 5.850, 5.850, 3.697 Å; angles 90.00, 90.00, 90.00 degrees
Sites, in units of the cell vectors:
Ge 0.000 0.000 0.000
Se 0.500 0.500 0.500
I 0.000 0.500 0.000
I 0.500 0.000 0.000
O 0.000 0.000 0.500

Output
- space group = P4/mmm (123)

Which of them is the least stable? Correct choice: one.

--- one ---
Here is a geometry-optimized SiGeIO2 structure from the Alexandria database. Energies are from PBE-GGA.

Cell lengths 3.843, 3.843, 5.471 Å; angles 90.00, 90.00, 90.00 degrees
Sites, in units of the cell vectors:
Si 0.000 0.000 0.000
Ge 0.500 0.500 0.500
I 0.000 0.000 0.500
O 0.000 0.500 0.000
O 0.500 0.000 0.000

Output
- space group = P4/mmm (123)

--- two ---
Here is a geometry-optimized SiGeIO2 structure from the Alexandria database. Energies are from PBE-GGA.

Cell lengths 3.829, 3.829, 6.911 Å; angles 90.00, 90.00, 90.00 degrees
Sites, in units of the cell vectors:
Si 0.000 0.000 0.000
Ge 0.500 0.500 0.500
I 0.500 0.500 0.000
O 0.000 0.500 0.500
O 0.500 0.000 0.500

Output
- space group = P4/mmm (123)

Which of them is the least stable? Correct choice: two.

--- one ---
Here is a geometry-optimized SrGeIO2 structure from the Alexandria database. Energies are from PBE-GGA.

Cell lengths 4.321, 4.321, 5.449 Å; angles 90.00, 90.00, 90.00 degrees
Sites, in units of the cell vectors:
Sr 0.000 0.000 0.000
Ge 0.500 0.500 0.500
I 0.500 0.500 0.000
O 0.000 0.500 0.500
O 0.500 0.000 0.500

Output
- space group = P4/mmm (123)

--- two ---
Here is a geometry-optimized SrGeIO2 structure from the Alexandria database. Energies are from PBE-GGA.

Cell lengths 4.603, 4.603, 6.501 Å; angles 90.00, 90.00, 90.00 degrees
Sites, in units of the cell vectors:
Sr 0.000 0.000 0.000
Ge 0.500 0.500 0.500
I 0.000 0.000 0.500
O 0.000 0.500 0.000
O 0.500 0.000 0.000

Output
- space group = P4/mmm (123)

Which of them is the least stable? Correct choice: two.

--- one ---
Here is a geometry-optimized SrGeI2O structure from the Alexandria database. Energies are from PBE-GGA.

Cell lengths 6.100, 6.100, 3.972 Å; angles 90.00, 90.00, 90.00 degrees
Sites, in units of the cell vectors:
Sr 0.000 0.000 0.000
Ge 0.500 0.500 0.500
I 0.000 0.500 0.500
I 0.500 0.000 0.500
O 0.500 0.500 0.000

Output
- space group = P4/mmm (123)

--- two ---
Here is a geometry-optimized SrGeI2O structure from the Alexandria database. Energies are from PBE-GGA.

Cell lengths 6.373, 6.373, 4.297 Å; angles 90.00, 90.00, 90.00 degrees
Sites, in units of the cell vectors:
Sr 0.000 0.000 0.000
Ge 0.500 0.500 0.500
I 0.000 0.500 0.000
I 0.500 0.000 0.000
O 0.000 0.000 0.500

Output
- space group = P4/mmm (123)

Which of them is the least stable? Correct choice: two.